(1)
VASP calculation (PBE) on a relaxed SrAlGaPd2 crystal.

a = 4.5169 Å, b = 4.5169 Å, c = 10.0638 Å
α = 90.00°, β = 90.00°, γ = 90.00°
Space group P4/nmm (No. 129, origin choice 2)
Inequivalent atoms, fractional coordinates:
Sr: 0.2500 0.2500 0.2477
Al: 0.2500 0.2500 0.8829
Ga: 0.2500 0.7500 0.5000
Pd: 0.2500 0.2500 0.6310
Pd: 0.2500 0.7500 0.0000

Output
- calculated total energy (eV per atom) = -4.510
- crystal system = tetragonal

(2)
VASP calculation (PBE) on a relaxed SrAlGaPd2 crystal.

a = 4.4481 Å, b = 4.4481 Å, c = 10.3448 Å
α = 90.00°, β = 90.00°, γ = 90.00°
Space group P4/nmm (No. 129, origin choice 2)
Inequivalent atoms, fractional coordinates:
Sr: 0.2500 0.2500 0.2435
Al: 0.2500 0.7500 0.5000
Ga: 0.2500 0.2500 0.8782
Pd: 0.2500 0.2500 0.6268
Pd: 0.2500 0.7500 0.0000

Output
- calculated total energy (eV per atom) = -4.511
- crystal system = tetragonal

(3)
VASP calculation (PBE) on a relaxed AlZn4GaPd2 crystal.

a = 4.2803 Å, b = 4.2803 Å, c = 8.0123 Å
α = 90.00°, β = 90.00°, γ = 120.00°
Space group P-6m2 (No. 187)
Inequivalent atoms, fractional coordinates:
Al: 0.0000 0.0000 0.0000
Zn: 0.3333 0.6667 0.3262
Zn: 0.6667 0.3333 0.1714
Ga: 0.0000 0.0000 0.5000
Pd: 0.3333 0.6667 0.0000
Pd: 0.6667 0.3333 0.5000

Output
- calculated total energy (eV per atom) = -3.140
- crystal system = hexagonal

(4)
VASP calculation (PBE) on a relaxed Zr2AlGaPd4 crystal.

a = 4.3325 Å, b = 4.3325 Å, c = 8.5994 Å
α = 90.00°, β = 90.00°, γ = 120.00°
Space group P-3m1 (No. 164)
Inequivalent atoms, fractional coordinates:
Zr: 0.3333 0.6667 0.2506
Al: 0.0000 0.0000 0.0000
Ga: 0.0000 0.0000 0.5000
Pd: 0.3333 0.6667 0.5870
Pd: 0.3333 0.6667 0.9153

Output
- calculated total energy (eV per atom) = -6.356
- crystal system = trigonal

(5)
VASP calculation (PBE) on a relaxed Pm2AlGa3 crystal.

a = 8.4661 Å, b = 8.5896 Å, c = 14.8793 Å
α = 90.00°, β = 90.00°, γ = 90.00°
Space group Fmmm (No. 69)
Inequivalent atoms, fractional coordinates:
Pm: 0.2472 0.0000 0.0000
Pm: 0.2500 0.2500 0.2500
Al: 0.0000 0.0000 0.3337
Ga: 0.0000 0.0000 0.1667
Ga: 0.0000 0.2500 0.0831

Output
- calculated total energy (eV per atom) = -4.364
- crystal system = orthorhombic

(6)
VASP calculation (PBE) on a relaxed PrAl2Ga crystal.

a = 6.5358 Å, b = 11.4531 Å, c = 4.5573 Å
α = 90.00°, β = 90.00°, γ = 90.00°
Space group Cmcm (No. 63)
Inequivalent atoms, fractional coordinates:
Pr: 0.0000 0.1691 0.2500
Al: 0.2114 0.4326 0.2500
Ga: 0.0000 0.3574 0.7500

Output
- calculated total energy (eV per atom) = -4.314
- energy above the most stable polymorph in this dataset (eV/atom) = 0.003
- crystal system = orthorhombic